Material: SnMoPO2
Method: DFT, PBE+U
State: relaxed

```
SnMoPO2
1.0
-1.0558 -3.7378 0.8318
0.1958 -0.9144 -3.8605
5.0269 -1.2949 0.5617
P Mo O Sn
1 1 2 1
Cartesian
2.5135 -0.6475 0.2808
0.0000 0.0000 0.0000
-0.5279 -1.8689 0.4159
0.0979 -0.4572 -1.9302
2.0835 -2.9736 -1.2335
```

energy relative to the lowest polymorph listed for this composition = 0 kJ/mol of formula units
final energy = -29.95 eV/f.u.